Entry 1:
TeMoRu2: relaxed, PBE-GGA.

```
4
Lattice="-3.553 0.196 2.138 -1.515 -0.556 -2.466 -0.560 -5.562 -0.422" Properties=species:S:1:pos:R:3 pbc="T T T"
Mo -3.333 -4.491 -1.097
Ru -0.730 -5.594 -0.700
Ru -0.868 -3.027 -1.165
Te -2.295 -1.432 0.347
```

Output
Symmetry ... No. 10
Calculated volume ... 16.35 A^3/atom
Formation energy (no corrections) ... 356 meV per atom

=====

Entry 2:
TeMoRu2: relaxed, PBE-GGA.

```
4
Lattice="3.015 0.000 0.000 0.000 3.015 0.000 0.000 0.000 7.244" Properties=species:S:1:pos:R:3 pbc="T T T"
Mo 1.507 1.507 5.433
Ru 0.000 0.000 7.129
Ru 0.000 0.000 3.737
Te 1.507 1.507 1.811
```

Output
Symmetry ... No. 123
Calculated volume ... 16.46 A^3/atom
Formation energy (no corrections) ... 271 meV per atom

=====

Entry 3:
TeMoRu2: relaxed, PBE-GGA.

```
4
Lattice="3.013 0.000 0.000 0.000 3.795 0.000 0.000 0.000 5.723" Properties=species:S:1:pos:R:3 pbc="T T T"
Mo 1.507 1.897 4.293
Ru 0.000 0.000 5.623
Ru 0.000 0.000 2.962
Te 1.507 1.897 1.431
```

Output
Symmetry ... No. 47
Calculated volume ... 16.36 A^3/atom
Formation energy (no corrections) ... 300 meV per atom